Record 1
# LiCuPdF5 PBE relaxed
data_LiCuPdF5
_chemical_formula_sum 'Li2 Cu2 Pd2 F10'
_cell_length_a 5.6771
_cell_length_b 5.6771
_cell_length_c 7.9099
_cell_angle_alpha 104.57
_cell_angle_beta 104.57
_cell_angle_gamma 111.59
_symmetry_space_group_name_H-M 'P 1'
_symmetry_Int_Tables_number 1
loop_
_symmetry_equiv_pos_as_xyz
'x,y,z'
loop_
_atom_site_label
_atom_site_type_symbol
_atom_site_fract_x
_atom_site_fract_y
_atom_site_fract_z
F1 F 0.2592 0.3688 0.0754
F2 F 0.6312 0.7408 0.4246
F3 F 0.0214 0.6730 0.3378
F4 F 0.9786 0.3270 0.6622
F5 F 0.3270 0.9786 0.1622
F6 F 0.7408 0.6312 0.9246
F7 F 0.6730 0.0214 0.8378
F8 F 0.3688 0.2592 0.5754
F9 F 0.1190 0.8810 0.7500
F10 F 0.8810 0.1190 0.2500
Li1 Li 0.6894 0.3106 0.7500
Li2 Li 0.3106 0.6894 0.2500
Cu1 Cu 0.0000 0.0000 0.0000
Cu2 Cu 0.0000 0.0000 0.5000
Pd1 Pd 0.3325 0.6675 0.7500
Pd2 Pd 0.6675 0.3325 0.2500
# ΔE_f (raw) = -160 kJ per mole of atoms

***

Record 2
# Rb2BeTc PBE relaxed
data_Rb2BeTc
_chemical_formula_sum 'Rb4 Be2 Tc2'
_cell_length_a 13.4286
_cell_length_b 13.4286
_cell_length_c 9.7371
_cell_angle_alpha 46.40
_cell_angle_beta 46.40
_cell_angle_gamma 90.00
_symmetry_space_group_name_H-M 'P 1'
_symmetry_Int_Tables_number 1
loop_
_symmetry_equiv_pos_as_xyz
'x,y,z'
loop_
_atom_site_label
_atom_site_type_symbol
_atom_site_fract_x
_atom_site_fract_y
_atom_site_fract_z
Rb1 Rb 0.8750 0.1200 0.7500
Rb2 Rb 0.3750 0.1300 0.7500
Rb3 Rb 0.8800 0.6250 0.2500
Rb4 Rb 0.8700 0.1250 0.2500
Tc1 Tc 0.7500 0.2500 0.5000
Tc2 Tc 0.0000 0.0000 0.0000
Be1 Be 0.2500 0.7500 0.5000
Be2 Be 0.5000 0.5000 0.0000
# DFT formation energy = 1.24 eV/atom

***

Record 3
# PmNdRhI PBE relaxed
data_PmNdRhI
_chemical_formula_sum 'Pm1 Nd1 Rh1 I1'
_cell_length_a 4.1600
_cell_length_b 4.1602
_cell_length_c 8.5122
_cell_angle_alpha 90.00
_cell_angle_beta 104.15
_cell_angle_gamma 120.00
_symmetry_space_group_name_H-M 'P 1'
_symmetry_Int_Tables_number 1
loop_
_symmetry_equiv_pos_as_xyz
'x,y,z'
loop_
_atom_site_label
_atom_site_type_symbol
_atom_site_fract_x
_atom_site_fract_y
_atom_site_fract_z
I1 I 0.9664 0.3814 0.3626
Pm1 Pm 0.0931 0.9445 0.0529
Rh1 Rh 0.3048 0.5503 0.8705
Nd1 Nd 0.5136 0.1547 0.6836
# ΔE_f (raw) = -90 kJ per mole of atoms

***

Record 4
# Zn2CrSnS PBE relaxed
data_Zn2CrSnS
_chemical_formula_sum 'Zn2 Cr1 Sn1 S1'
_cell_length_a 4.9246
_cell_length_b 5.3747
_cell_length_c 4.9246
_cell_angle_alpha 90.00
_cell_angle_beta 90.00
_cell_angle_gamma 90.00
_symmetry_space_group_name_H-M 'P 1'
_symmetry_Int_Tables_number 1
loop_
_symmetry_equiv_pos_as_xyz
'x,y,z'
loop_
_atom_site_label
_atom_site_type_symbol
_atom_site_fract_x
_atom_site_fract_y
_atom_site_fract_z
S1 S 0.5000 0.5000 0.5000
Zn1 Zn 0.0000 0.0000 0.5000
Zn2 Zn 0.5000 0.0000 0.0000
Cr1 Cr 0.0000 0.5000 0.0000
Sn1 Sn 0.0000 0.0000 0.0000
# ΔE_f (raw) = 75 kJ per mole of atoms

***

Record 5
# Zr2InIr2 PBE relaxed
data_Zr2InIr2
_chemical_formula_sum 'Zr2 In1 Ir2'
_cell_length_a 3.9943
_cell_length_b 3.9943
_cell_length_c 7.4174
_cell_angle_alpha 74.38
_cell_angle_beta 74.38
_cell_angle_gamma 90.00
_symmetry_space_group_name_H-M 'P 1'
_symmetry_Int_Tables_number 1
loop_
_symmetry_equiv_pos_as_xyz
'x,y,z'
loop_
_atom_site_label
_atom_site_type_symbol
_atom_site_fract_x
_atom_site_fract_y
_atom_site_fract_z
Ir1 Ir 0.2500 0.7500 0.5000
Ir2 Ir 0.7500 0.2500 0.5000
Zr1 Zr 0.3780 0.3780 0.2440
Zr2 Zr 0.6220 0.6220 0.7560
In1 In 0.0000 0.0000 0.0000
# DFT formation energy = -0.28 eV/atom

***

Record 6
# YB2PS PBE relaxed
data_YB2PS
_chemical_formula_sum 'Y1 B2 P1 S1'
_cell_length_a 3.8151
_cell_length_b 5.8253
_cell_length_c 3.8151
_cell_angle_alpha 90.00
_cell_angle_beta 90.00
_cell_angle_gamma 90.00
_symmetry_space_group_name_H-M 'P 1'
_symmetry_Int_Tables_number 1
loop_
_symmetry_equiv_pos_as_xyz
'x,y,z'
loop_
_atom_site_label
_atom_site_type_symbol
_atom_site_fract_x
_atom_site_fract_y
_atom_site_fract_z
B1 B 0.0000 0.0000 0.5000
B2 B 0.5000 0.0000 0.0000
P1 P 0.0000 0.0000 0.0000
S1 S 0.5000 0.5000 0.5000
Y1 Y 0.0000 0.5000 0.0000
# excess energy over the best structure of this formula in the dataset = 0.000 eV/f.u.
# ΔE_f (raw) = 22 kJ per mole of atoms

***

Record 7
# LiEr2TcO6 PBE relaxed
data_LiEr2TcO6
_chemical_formula_sum 'Li1 Er2 Tc1 O6'
_cell_length_a 5.4785
_cell_length_b 5.4787
_cell_length_c 5.8226
_cell_angle_alpha 61.94
_cell_angle_beta 61.94
_cell_angle_gamma 60.00
_symmetry_space_group_name_H-M 'P 1'
_symmetry_Int_Tables_number 1
loop_
_symmetry_equiv_pos_as_xyz
'x,y,z'
loop_
_atom_site_label
_atom_site_type_symbol
_atom_site_fract_x
_atom_site_fract_y
_atom_site_fract_z
Er1 Er 0.5269 0.5270 0.4190
Er2 Er 0.0226 0.0226 0.9323
O1 O 0.4307 0.6862 0.7653
O2 O 0.9662 0.5789 0.2355
O3 O 0.5790 0.2192 0.2356
O4 O 0.1180 0.4306 0.7652
O5 O 0.6861 0.1180 0.7653
O6 O 0.2192 0.9662 0.2357
Li1 Li 0.7904 0.7905 0.6288
Tc1 Tc 0.3225 0.3225 0.0325
# ΔE_f (raw) = -247 kJ per mole of atoms

***

Record 8
# PmDy2YHo6 PBE relaxed
data_PmDy2YHo6
_chemical_formula_sum 'Pm2 Dy4 Y2 Ho12'
_cell_length_a 9.5484
_cell_length_b 8.7622
_cell_length_c 8.7622
_cell_angle_alpha 118.08
_cell_angle_beta 93.88
_cell_angle_gamma 93.88
_symmetry_space_group_name_H-M 'P 1'
_symmetry_Int_Tables_number 1
loop_
_symmetry_equiv_pos_as_xyz
'x,y,z'
loop_
_atom_site_label
_atom_site_type_symbol
_atom_site_fract_x
_atom_site_fract_y
_atom_site_fract_z
Ho1 Ho 0.4432 0.2513 0.8767
Ho2 Ho 0.3802 0.5067 0.2913
Ho3 Ho 0.1198 0.7087 0.4933
Ho4 Ho 0.8174 0.4315 0.9791
Ho5 Ho 0.1826 0.5685 0.0209
Ho6 Ho 0.6198 0.4933 0.7087
Ho7 Ho 0.6826 0.0209 0.5685
Ho8 Ho 0.9432 0.8767 0.2513
Ho9 Ho 0.8802 0.2913 0.5067
Ho10 Ho 0.3174 0.9791 0.4315
Ho11 Ho 0.0568 0.1233 0.7487
Ho12 Ho 0.5568 0.7487 0.1233
Y1 Y 0.7500 0.5914 0.4086
Y2 Y 0.2500 0.4086 0.5914
Dy1 Dy 0.9553 0.6974 0.8029
Dy2 Dy 0.0447 0.3026 0.1971
Dy3 Dy 0.5447 0.1971 0.3026
Dy4 Dy 0.4553 0.8029 0.6974
Pm1 Pm 0.7500 0.0240 0.9760
Pm2 Pm 0.2500 0.9760 0.0240
# DFT formation energy = 0.12 eV/atom

***

Total magnetization, record by record: 2.12; 5.08; 0.00; 3.94; 0.00; 0.00; 2.00; 0.00 Bohr magnetons per cell